Compound: Fe2O2F
Source: Alexandria via LeMat-Bulk
Functional: PBE+U
Structure: relaxed

The structure in POSCAR format:
```
Fe2O2F
1.0
2.983 -1.736 0.000
2.983 1.736 0.000
-1.966 0.000 6.361
Fe O F
2 2 1
Cartesian
0.008 0.000 1.974
3.991 0.000 4.386
0.010 0.000 4.138
3.990 0.000 2.223
0.000 0.000 0.000
```

Values from the calculation:
The total energy is -6.242 eV per atom. The value obtained for the size of the total moment is 9.00 μB per formula unit.